# ScCu2SBr

ScCu2SBr after structural relaxation (PBE-GGA, Alexandria via LeMat-Bulk).

a b c (Å): 5.146 5.146 4.881
angles (deg): 90.00 90.00 90.00
Positions (direct):
Sc  0.000  0.000  0.000
Cu  0.000  0.500  0.000
Cu  0.500  0.000  0.000
S  0.500  0.500  0.500
Br  0.000  0.000  0.500

## Properties
- Total magnetic moment: 0.00 μB/f.u.
- Formation energy from raw total energies: 0.75 eV/atom


# Ce7Ge2H2

Ce7Ge2H2 after structural relaxation (PBE-GGA, Alexandria via LeMat-Bulk).

a b c (Å): 5.893 6.444 6.993
angles (deg): 67.31 85.04 85.01
Positions (direct):
Ce  0.000  0.000  0.000
Ce  0.214  0.495  0.547
Ce  0.216  0.910  0.572
Ce  0.295  0.401  0.092
Ce  0.705  0.599  0.908
Ce  0.784  0.090  0.428
Ce  0.786  0.505  0.453
Ge  0.481  0.877  0.194
Ge  0.519  0.123  0.806
H  0.066  0.704  0.898
H  0.934  0.296  0.102

## Properties
- Total magnetic moment: 2.83 μB/f.u.
- Total DFT energy (no corrections): -5.56 eV per atom


# AlTcPd3

AlTcPd3 after structural relaxation (PBE-GGA, Alexandria via LeMat-Bulk).

a b c (Å): 4.465 4.465 4.465
angles (deg): 90.00 90.00 90.00
Positions (direct):
Al  0.000  0.000  0.000
Tc  0.500  0.500  0.500
Pd  0.000  0.000  0.500
Pd  0.000  0.500  0.000
Pd  0.500  0.000  0.000

## Properties
- Energy relative to the lowest polymorph listed for this composition: 0.0000 eV/atom
- Total magnetic moment: 0.00 μB/f.u.
- E_form: 3.97 eV per formula unit


# LuHfBe4

LuHfBe4 after structural relaxation (PBE-GGA, Alexandria via LeMat-Bulk).

a b c (Å): 4.846 4.846 4.846
angles (deg): 60.00 60.00 60.00
Positions (direct):
Lu  0.000  0.000  0.000
Hf  0.750  0.750  0.750
Be  0.378  0.378  0.378
Be  0.378  0.378  0.866
Be  0.378  0.866  0.378
Be  0.866  0.378  0.378

## Properties
- Total magnetic moment: 0.00 μB/f.u.
- E_form: 0.10 eV per formula unit


# TaNbAu

TaNbAu after structural relaxation (PBE-GGA, Alexandria via LeMat-Bulk).

a b c (Å): 5.047 5.115 5.297
angles (deg): 108.92 97.01 117.37
Positions (direct):
Ta  0.064  0.454  0.247
Ta  0.936  0.546  0.753
Nb  0.263  0.219  0.744
Nb  0.737  0.781  0.256
Au  0.405  0.118  0.236
Au  0.595  0.882  0.764

## Properties
- Energy relative to the lowest polymorph listed for this composition: 0.1246 eV/atom
- Total magnetic moment: 0.00 μB/f.u.
- E_form: 0.06 eV per formula unit


# PtN

PtN after structural relaxation (PBE-GGA, Alexandria via LeMat-Bulk).

a b c (Å): 11.051 11.051 2.730
angles (deg): 90.00 90.00 90.00
Positions (direct):
Pt  0.097  0.376  0.000
Pt  0.180  0.670  0.500
Pt  0.330  0.180  0.500
Pt  0.376  0.903  0.000
Pt  0.624  0.097  0.000
Pt  0.670  0.820  0.500
Pt  0.820  0.330  0.500
Pt  0.903  0.624  0.000
N  0.091  0.570  0.000
N  0.183  0.283  0.500
N  0.283  0.817  0.500
N  0.430  0.091  0.000
N  0.570  0.909  0.000
N  0.717  0.183  0.500
N  0.817  0.717  0.500
N  0.909  0.430  0.000

## Properties
- Total magnetic moment: 0.00 μB/f.u.
- Formation energy from raw total energies: 1.06 eV/atom


# HoCdPd5

HoCdPd5 after structural relaxation (PBE-GGA, Alexandria via LeMat-Bulk).

a b c (Å): 5.179 5.385 9.502
angles (deg): 90.00 90.00 90.00
Positions (direct):
Ho  0.000  0.000  0.000
Ho  0.500  0.500  0.500
Cd  0.000  0.500  0.274
Cd  0.500  0.000  0.774
Pd  0.000  0.000  0.270
Pd  0.000  0.254  0.742
Pd  0.000  0.746  0.742
Pd  0.249  0.500  0.012
Pd  0.251  0.000  0.512
Pd  0.500  0.246  0.242
Pd  0.500  0.500  0.770
Pd  0.500  0.754  0.242
Pd  0.749  0.000  0.512
Pd  0.751  0.500  0.012

## Properties
- Total magnetic moment: 0.00 μB/f.u.
- E_form: -2.53 eV per formula unit


# LiCa2Te

LiCa2Te after structural relaxation (PBE-GGA, Alexandria via LeMat-Bulk).

a b c (Å): 7.881 7.881 7.881
angles (deg): 90.00 90.00 90.00
Positions (direct):
Li  0.000  0.000  0.000
Li  0.000  0.500  0.500
Li  0.500  0.000  0.500
Li  0.500  0.500  0.000
Ca  0.000  0.000  0.500
Ca  0.000  0.500  0.000
Ca  0.250  0.250  0.750
Ca  0.250  0.750  0.250
Ca  0.500  0.000  0.000
Ca  0.500  0.500  0.500
Ca  0.750  0.250  0.250
Ca  0.750  0.750  0.750
Te  0.250  0.250  0.250
Te  0.250  0.750  0.750
Te  0.750  0.250  0.750
Te  0.750  0.750  0.250

## Properties
- Total magnetic moment: 0.00 μB/f.u.
- Formation energy from raw total energies: -0.27 eV/atom


# CsScSe2

CsScSe2 after structural relaxation (PBE-GGA, Alexandria via LeMat-Bulk).

a b c (Å): 5.438 5.438 3.755
angles (deg): 90.00 90.00 90.00
Positions (direct):
Cs  0.000  0.000  0.000
Sc  0.500  0.500  0.000
Se  0.000  0.500  0.500
Se  0.500  0.000  0.500

## Properties
- Total magnetic moment: 0.00 μB/f.u.
- Formation energy from raw total energies: -0.58 eV/atom


# Mn2Ga5Pd12

Mn2Ga5Pd12 after structural relaxation (PBE-GGA, Alexandria via LeMat-Bulk).

a b c (Å): 7.489 7.489 8.136
angles (deg): 99.15 99.15 44.07
Positions (direct):
Mn  0.178  0.822  0.000
Mn  0.822  0.178  0.000
Ga  0.155  0.155  0.856
Ga  0.200  0.200  0.365
Ga  0.500  0.500  0.500
Ga  0.800  0.800  0.635
Ga  0.845  0.845  0.144
Pd  0.017  0.017  0.319
Pd  0.077  0.561  0.885
Pd  0.095  0.601  0.410
Pd  0.399  0.905  0.590
Pd  0.439  0.439  0.174
Pd  0.439  0.923  0.115
Pd  0.561  0.077  0.885
Pd  0.561  0.561  0.826
Pd  0.601  0.095  0.410
Pd  0.905  0.399  0.590
Pd  0.923  0.439  0.115
Pd  0.983  0.983  0.681

## Properties
- Total magnetic moment: 4.00 μB/f.u.
- E_form: -4.49 eV per formula unit


# ZrBiF2

ZrBiF2 after structural relaxation (PBE-GGA, Alexandria via LeMat-Bulk).

a b c (Å): 3.075 3.075 27.286
angles (deg): 90.00 90.00 120.00
Positions (direct):
Zr  0.000  0.000  0.000
Zr  0.333  0.667  0.667
Zr  0.667  0.333  0.333
Bi  0.000  0.000  0.500
Bi  0.333  0.667  0.167
Bi  0.667  0.333  0.833
F  0.000  0.000  0.388
F  0.000  0.000  0.612
F  0.333  0.667  0.054
F  0.333  0.667  0.279
F  0.667  0.333  0.721
F  0.667  0.333  0.946

## Properties
- Energy relative to the lowest polymorph listed for this composition: 0.0331 eV/atom
- Total magnetic moment: 0.00 μB/f.u.
- Formation energy from raw total energies: -1.80 eV/atom


# MnSb2Pb

MnSb2Pb after structural relaxation (PBE-GGA, Alexandria via LeMat-Bulk).

a b c (Å): 6.362 8.099 4.066
angles (deg): 90.00 90.00 90.00
Positions (direct):
Mn  0.000  0.000  0.000
Mn  0.500  0.500  0.000
Sb  0.250  0.250  0.500
Sb  0.250  0.750  0.500
Sb  0.750  0.250  0.500
Sb  0.750  0.750  0.500
Pb  0.000  0.500  0.000
Pb  0.500  0.000  0.000

## Properties
- Total magnetic moment: 4.23 μB/f.u.
- Formation energy from raw total energies: 0.34 eV/atom


# InTcW2

InTcW2 after structural relaxation (PBE-GGA, Alexandria via LeMat-Bulk).

a b c (Å): 3.235 4.585 9.044
angles (deg): 90.00 90.00 90.00
Positions (direct):
In  0.000  0.000  0.000
In  0.500  0.500  0.500
Tc  0.000  0.500  0.761
Tc  0.500  0.000  0.261
W  0.000  0.000  0.499
W  0.000  0.500  0.233
W  0.500  0.000  0.733
W  0.500  0.500  0.999

## Properties
- Energy relative to the lowest polymorph listed for this composition: 0.1024 eV/atom
- Total magnetic moment: 0.00 μB/f.u.
- E_form: 1.56 eV per formula unit


# Cs3HfRh

Cs3HfRh after structural relaxation (PBE-GGA, Alexandria via LeMat-Bulk).

a b c (Å): 6.195 6.195 6.195
angles (deg): 90.00 90.00 90.00
Positions (direct):
Cs  0.000  0.000  0.500
Cs  0.000  0.500  0.000
Cs  0.500  0.000  0.000
Hf  0.500  0.500  0.500
Rh  0.000  0.000  0.000

## Properties
- Total magnetic moment: 3.31 μB/f.u.
- E_form: 6.84 eV per formula unit


# DyHoTl2S4

DyHoTl2S4 after structural relaxation (PBE-GGA, Alexandria via LeMat-Bulk).

a b c (Å): 6.966 4.021 7.871
angles (deg): 90.00 107.14 90.00
Positions (direct):
Dy  0.000  0.000  0.000
Ho  0.500  0.500  0.000
Tl  0.000  0.500  0.500
Tl  0.500  0.000  0.500
S  0.233  0.500  0.198
S  0.269  0.000  0.803
S  0.731  0.000  0.197
S  0.767  0.500  0.802

## Properties
- Total magnetic moment: 0.00 μB/f.u.
- Formation energy from raw total energies: -1.49 eV/atom


# MnRuAuCS

MnRuAuCS after structural relaxation (PBE-GGA, Alexandria via LeMat-Bulk).

a b c (Å): 10.503 2.896 5.887
angles (deg): 90.00 123.10 90.00
Positions (direct):
Mn  0.000  0.000  0.000
Mn  0.500  0.500  0.000
Ru  0.229  0.000  0.927
Ru  0.729  0.500  0.927
Au  0.210  0.500  0.494
Au  0.710  0.000  0.494
C  0.096  0.500  0.943
C  0.596  0.000  0.943
S  0.406  0.500  0.256
S  0.906  0.000  0.256

## Properties
- Energy relative to the lowest polymorph listed for this composition: 0.1478 eV/atom
- Total magnetic moment: 1.91 μB/f.u.
- Formation energy from raw total energies: 0.28 eV/atom


# AlVBiPt2

AlVBiPt2 after structural relaxation (PBE-GGA, Alexandria via LeMat-Bulk).

a b c (Å): 5.075 5.075 5.198
angles (deg): 90.00 90.00 90.00
Positions (direct):
Al  0.000  0.000  0.000
V  0.500  0.500  0.000
Bi  0.000  0.000  0.500
Pt  0.000  0.500  0.500
Pt  0.500  0.000  0.500

## Properties
- Total magnetic moment: 0.08 μB/f.u.
- E_form: 7.72 eV per formula unit


# MgCoSi2

MgCoSi2 after structural relaxation (PBE-GGA, Alexandria via LeMat-Bulk).

a b c (Å): 4.334 4.334 15.172
angles (deg): 90.00 90.00 90.00
Positions (direct):
Mg  0.000  0.000  0.000
Mg  0.000  0.500  0.250
Mg  0.500  0.000  0.750
Mg  0.500  0.500  0.500
Co  0.000  0.000  0.500
Co  0.000  0.500  0.750
Co  0.500  0.000  0.250
Co  0.500  0.500  0.000
Si  0.117  0.250  0.625
Si  0.250  0.617  0.875
Si  0.250  0.883  0.375
Si  0.383  0.250  0.125
Si  0.617  0.750  0.125
Si  0.750  0.117  0.375
Si  0.750  0.383  0.875
Si  0.883  0.750  0.625

## Properties
- Total magnetic moment: 0.00 μB/f.u.
- Formation energy from raw total energies: 0.12 eV/atom


# BaIn2Cu

BaIn2Cu after structural relaxation (PBE-GGA, Alexandria via LeMat-Bulk).

a b c (Å): 7.612 7.612 7.612
angles (deg): 90.00 90.00 90.00
Positions (direct):
Ba  0.000  0.000  0.000
Ba  0.000  0.500  0.500
Ba  0.500  0.000  0.500
Ba  0.500  0.500  0.000
In  0.250  0.250  0.250
In  0.250  0.250  0.750
In  0.250  0.750  0.250
In  0.250  0.750  0.750
In  0.750  0.250  0.250
In  0.750  0.250  0.750
In  0.750  0.750  0.250
In  0.750  0.750  0.750
Cu  0.000  0.000  0.500
Cu  0.000  0.500  0.000
Cu  0.500  0.000  0.000
Cu  0.500  0.500  0.500

## Properties
- Total magnetic moment: 0.00 μB/f.u.
- E_form: 0.14 eV per formula unit


# BaLi4Zn2

BaLi4Zn2 after structural relaxation (PBE-GGA, Alexandria via LeMat-Bulk).

a b c (Å): 4.814 14.313 4.791
angles (deg): 90.00 90.00 90.00
Positions (direct):
Ba  0.000  0.000  0.000
Ba  0.500  0.500  0.000
Li  0.000  0.201  0.500
Li  0.000  0.308  0.000
Li  0.000  0.692  0.000
Li  0.000  0.799  0.500
Li  0.500  0.192  0.000
Li  0.500  0.299  0.500
Li  0.500  0.701  0.500
Li  0.500  0.808  0.000
Zn  0.000  0.406  0.500
Zn  0.000  0.594  0.500
Zn  0.500  0.094  0.500
Zn  0.500  0.906  0.500

## Properties
- Total magnetic moment: 0.00 μB/f.u.
- E_form: -0.52 eV per formula unit